# 1
# LiYO2

An optimized crystal structure of LiYO2 (PBE, Alexandria).

Structure (extended XYZ):
```
4
Lattice="4.613 2.881 3.229 4.698 -0.456 4.210 6.185 0.516 1.218" Properties=species:S:1:pos:R:3 pbc="T T T"
Li 7.748 1.470 4.328
O 1.729 0.328 0.966
O 13.767 2.613 7.691
Y 0.000 0.000 0.000
```

Calculated density: 3375 kg/m³
E_form (uncorrected): -4.9 eV/f.u.
Size of the total moment: 0.897 μB per cell
N(E_F): 0.610 states/eV/atom

# 2
# LiYO

An optimized crystal structure of LiYO (PBE, Alexandria).

Structure (extended XYZ):
```
3
Lattice="3.597 0.000 0.000 -1.799 3.115 0.000 0.000 0.000 5.709" Properties=species:S:1:pos:R:3 pbc="T T T"
Y 1.799 1.038 2.573
Li 0.000 0.000 5.516
O 0.000 2.077 3.329
```

Relative energy among the computed polymorphs: 233 meV per atom
Calculated density: 2903 kg/m³
E_form (uncorrected): -5.0 eV/f.u.
Size of the total moment: 0.042 μB per cell
N(E_F): 0.353 states/eV/atom

# 3
# LiY2ZnO5

An optimized crystal structure of LiY2ZnO5 (PBE, Alexandria).

Structure (extended XYZ):
```
18
Lattice="3.307 0.000 0.000 -1.653 6.810 0.000 0.000 0.000 9.039" Properties=species:S:1:pos:R:3 pbc="T T T"
O 0.000 4.118 3.085
O 0.000 4.230 5.900
O 0.000 0.414 0.613
O 1.653 2.580 1.380
O 0.000 6.668 2.628
O 1.653 1.936 4.522
O 1.653 0.142 7.147
O 1.653 2.692 7.605
O 1.653 6.396 5.133
O 0.000 4.874 0.002
Y 0.000 1.643 2.758
Y 1.653 5.094 1.647
Y 1.653 5.167 7.278
Y 0.000 1.716 6.167
Zn 0.000 5.721 4.399
Zn 1.653 1.088 8.918
Li 0.000 3.038 9.015
Li 1.653 3.772 4.496
```

Calculated density: 5387 kg/m³
E_form (uncorrected): -22.2 eV/f.u.
Size of the total moment: 1.870 μB per cell
N(E_F): 0.351 states/eV/atom

# 4
# Li4Y3ZrO8

An optimized crystal structure of Li4Y3ZrO8 (PBE, Alexandria).

Structure (extended XYZ):
```
16
Lattice="-0.571 5.745 0.394 -1.687 -2.828 4.759 5.883 0.425 2.338" Properties=species:S:1:pos:R:3 pbc="T T T"
O 2.079 3.717 2.703
O 1.546 -0.375 4.787
O -0.277 2.364 4.426
O -1.431 -0.862 3.758
O -0.827 3.780 1.395
O 0.860 0.759 1.856
O 3.917 1.095 3.005
O 2.750 2.467 5.694
Li -1.129 1.459 2.576
Li 1.201 2.980 0.788
Li 2.942 0.212 1.169
Li 3.553 -1.097 4.126
Y 1.812 1.671 3.745
Y 0.618 -1.309 2.960
Y 4.135 3.192 1.954
Zr 0.000 0.000 0.000
```

Calculated density: 4381 kg/m³
E_form (uncorrected): -44.3 eV/f.u.
Size of the total moment: 0.000 μB per cell
N(E_F): 0.206 states/eV/atom

# 5
# Li2YZrO4

An optimized crystal structure of Li2YZrO4 (PBE, Alexandria).

Structure (extended XYZ):
```
8
Lattice="4.448 0.002 0.000 -0.002 4.448 0.000 -2.223 -2.225 4.709" Properties=species:S:1:pos:R:3 pbc="T T T"
O -0.001 2.224 4.701
O -0.001 2.224 0.007
O 0.000 0.000 2.477
O 2.223 2.225 2.231
Li -0.001 2.224 2.354
Li -0.002 4.448 0.000
Zr 0.000 0.000 4.709
Y 2.224 0.001 2.354
```

Calculated density: 4598 kg/m³
E_form (uncorrected): -21.4 eV/f.u.
Size of the total moment: 0.001 μB per cell
N(E_F): 0.370 states/eV/atom

# 6
# LiY2ZrO

An optimized crystal structure of LiY2ZrO (PBE, Alexandria).

Structure (extended XYZ):
```
5
Lattice="4.855 0.000 0.000 0.000 4.855 0.000 0.000 0.000 4.442" Properties=species:S:1:pos:R:3 pbc="T T T"
Y 0.000 2.427 0.000
Y 2.427 0.000 0.000
Li 2.427 2.427 2.221
O 0.000 0.000 0.000
Zr 0.000 0.000 2.221
```

Calculated density: 4631 kg/m³
E_form (uncorrected): -4.9 eV/f.u.
Size of the total moment: 0.000 μB per cell
N(E_F): 0.970 states/eV/atom

# 7
# LiZnO2

An optimized crystal structure of LiZnO2 (PBE, Alexandria).

Structure (extended XYZ):
```
4
Lattice="-2.151 2.029 -0.542 -2.188 0.442 2.011 1.969 4.615 1.129" Properties=species:S:1:pos:R:3 pbc="T T T"
Li -0.109 2.528 1.570
O -2.259 2.455 1.492
O -0.111 4.631 1.106
Zn 0.000 0.000 0.000
```

Calculated density: 4575 kg/m³
E_form (uncorrected): -5.1 eV/f.u.
Size of the total moment: 1.021 μB per cell
N(E_F): 0.576 states/eV/atom

# 8
# Li6ZnO4

An optimized crystal structure of Li6ZnO4 (PBE, Alexandria).

Structure (extended XYZ):
```
22
Lattice="6.596 0.000 0.000 0.000 6.596 0.000 0.000 0.000 4.704" Properties=species:S:1:pos:R:3 pbc="T T T"
Li 3.298 0.000 0.212
Li 1.438 5.158 0.000
Li 5.158 1.438 0.000
Li 4.737 1.860 2.352
Li 4.737 4.737 2.352
Li 0.000 3.298 4.492
Li 0.000 3.298 2.140
Li 1.438 1.438 0.000
Li 5.158 5.158 0.000
Li 3.298 0.000 2.564
Li 1.860 1.860 2.352
Li 1.860 4.737 2.352
O 1.560 3.298 1.017
O 1.738 0.000 1.335
O 3.298 5.036 3.687
O 0.000 4.858 3.368
O 4.858 0.000 1.335
O 3.298 1.560 3.687
O 0.000 1.738 3.368
O 5.036 3.298 1.017
Zn 0.000 0.000 2.352
Zn 3.298 3.298 0.000
```

Calculated density: 2776 kg/m³
E_form (uncorrected): -19.6 eV/f.u.
Size of the total moment: 0.000 μB per cell
N(E_F): 0.000 states/eV/atom

# 9
# Li3ZnO3

An optimized crystal structure of Li3ZnO3 (PBE, Alexandria).

Structure (extended XYZ):
```
14
Lattice="-2.699 -2.074 -1.867 5.001 -4.190 -2.578 -3.053 -1.540 6.125" Properties=species:S:1:pos:R:3 pbc="T T T"
Li -2.538 -2.433 4.353
Li 0.071 -6.191 0.719
Li -0.822 -1.613 0.962
Li -0.982 -3.024 -1.277
Li 0.231 -4.780 2.957
Li 1.787 -5.370 -2.673
Zn 1.642 -3.825 -0.144
Zn -2.393 -3.979 1.824
O -3.648 -3.548 3.160
O 2.897 -4.256 -1.480
O 1.453 -4.937 1.365
O -1.327 -5.522 1.996
O 0.575 -2.282 -0.316
O -2.204 -2.867 0.315
```

Calculated density: 2694 kg/m³
E_form (uncorrected): -10.1 eV/f.u.
Size of the total moment: 2.024 μB per cell
N(E_F): 0.436 states/eV/atom

# 10
# LiZnO2

An optimized crystal structure of LiZnO2 (PBE, Alexandria).

Structure (extended XYZ):
```
8
Lattice="4.457 0.000 0.000 0.000 4.457 0.000 2.228 2.228 4.618" Properties=species:S:1:pos:R:3 pbc="T T T"
O 3.378 1.114 1.154
O 3.343 3.307 3.463
O 1.078 3.343 1.154
O 5.571 5.607 3.463
Zn 4.457 2.228 2.309
Zn 0.000 0.000 0.000
Li 2.228 4.457 2.309
Li 2.228 2.228 0.000
```

Calculated density: 3778 kg/m³
E_form (uncorrected): -5.0 eV/f.u.
Size of the total moment: 2.000 μB per cell
N(E_F): 0.481 states/eV/atom